(1)
BaS2IN: relaxed, PBEsol.

Output
Energy in eV per atom: -3.2137
Spin magnetization in μB/f.u.: 6.037
E_form (uncorrected) in eV/atom: 1.03

a b c (Å): 5.2291 5.9951 5.9951
angles (deg): 90.00 90.00 90.00
Sites, in units of the cell vectors:
S: 0.0000 0.5000 0.0000
S: 0.0000 0.0000 0.5000
Ba: 0.0000 0.0000 0.0000
N: 0.5000 0.0000 0.0000
I: 0.5000 0.5000 0.5000



(2)
CrRhSN2: relaxed, PBEsol.

Output
Energy in eV per atom: -7.0756
Spin magnetization in μB/f.u.: 3.981
E_form (uncorrected) in eV/atom: 0.89
Excess energy over the best structure of this formula in the dataset in meV per atom: 328.8

a b c (Å): 3.6903 3.6903 5.1685
angles (deg): 90.00 90.00 90.00
Sites, in units of the cell vectors:
N: 0.5000 0.0000 0.0000
N: 0.0000 0.5000 0.0000
S: 0.0000 0.0000 0.5000
Rh: 0.0000 0.0000 0.0000
Cr: 0.5000 0.5000 0.5000



(3)
ReAuSe2: relaxed, PBEsol.

Output
Energy in eV per atom: -5.6189
Spin magnetization in μB/f.u.: 0.000
E_form (uncorrected) in eV/atom: 0.62
Excess energy over the best structure of this formula in the dataset in meV per atom: 348.1

a b c (Å): 2.6539 5.3075 5.3075
angles (deg): 108.45 90.00 90.00
Sites, in units of the cell vectors:
Au: 0.0000 0.0000 0.0000
Se: 0.0000 0.0000 0.5000
Se: 0.0000 0.5000 0.0000
Re: 0.0000 0.5000 0.5000



(4)
Ca4Bi2O: relaxed, PBEsol.

Output
Energy in eV per atom: -4.7498
Spin magnetization in μB/f.u.: 0.000
E_form (uncorrected) in eV/atom: -1.56

a b c (Å): 4.7033 4.7033 8.8427
angles (deg): 105.42 105.42 90.00
Sites, in units of the cell vectors:
Ca: 0.0000 0.5000 0.0000
Ca: 0.5000 0.0000 0.0000
Ca: 0.3375 0.3375 0.6750
Ca: 0.6625 0.6625 0.3250
Bi: 0.1411 0.1411 0.2823
Bi: 0.8589 0.8589 0.7177
O: 0.5000 0.5000 0.0000



(5)
TcBr2: relaxed, PBEsol.

Output
Energy in eV per atom: -5.2840
Spin magnetization in μB/f.u.: 0.000
E_form (uncorrected) in eV/atom: -0.28

a b c (Å): 3.5917 6.8676 7.4433
angles (deg): 109.95 90.00 105.16
Sites, in units of the cell vectors:
Br: 0.3486 0.6971 0.7160
Br: 0.3912 0.7825 0.1893
Br: 0.6088 0.2175 0.8107
Br: 0.6514 0.3029 0.2840
Tc: 0.0136 0.0271 0.1500
Tc: 0.9864 0.9729 0.8500



(6)
In2BiAsIr: relaxed, PBEsol.

Output
Energy in eV per atom: -4.8502
Spin magnetization in μB/f.u.: 0.000
Calculated formation energy in kJ/mol of formula units: 90

a b c (Å): 4.6172 5.2351 5.2351
angles (deg): 90.00 90.00 90.00
Sites, in units of the cell vectors:
As: 0.5000 0.0000 0.0000
Bi: 0.5000 0.5000 0.5000
In: 0.0000 0.0000 0.5000
In: 0.0000 0.5000 0.0000
Ir: 0.0000 0.0000 0.0000